Below is FeBr3 after structural relaxation, with properties calculated at the PBE level.

abc: 5.0905 5.0905 5.0905
angles: 60.00 60.00 60.00
Last column: nearest neighbours and their distance in Å.
Fractional positions:
Br1 0.5000 0.5000 0.5000  8 Br 3.12
Br2 0.2500 0.2500 0.2500  4 Fe 3.12, 4 Br 3.12
Br3 0.7500 0.7500 0.7500  4 Br 3.12, 4 Fe 3.12
Fe1 0.0000 0.0000 0.0000  8 Br 3.12

Properties
**ρ**: 5.26 g/cm3
**Formation energy from raw total energies**: 0.560 eV/atom
**Total DFT energy (no corrections)**: -2.810 eV/atom
**Spin magnetization**: 5.000 μB/cell